LiDy6Hg5: optimized geometry, GGA-PBE.

```
LiDy6Hg5
1.0
-2.6094 3.7184 7.9149
2.6094 -3.7184 7.9149
2.6094 3.7184 -7.9149
Li Dy Hg
1 6 5
Direct
0.0000 0.0000 0.0000
0.0808 0.8316 0.2493
0.2547 0.5000 0.7547
0.4177 0.1684 0.2493
0.5823 0.8316 0.7507
0.7453 0.5000 0.2453
0.9192 0.1684 0.7507
0.1527 0.6527 0.5000
0.3330 0.3330 0.0000
0.5000 0.0000 0.5000
0.6670 0.6670 0.0000
0.8473 0.3473 0.5000
```

- spin magnetization (μB per cell) = 0.00
- space-group type = No. 71
- calculated formation energy (eV per atom) = -0.408
- raw total energy (eV/atom) = -2.994